(1)
! La2Sb, relaxed, DFT PBE; values from VASP
! DFT total energy in eV/atom: -5.269
! Crystal system: orthorhombic
! Formation energy without anion corrections in meV per atom: -609
&SYSTEM
  ibrav = 0, nat = 6, ntyp = 2
/
ATOMIC_SPECIES
La 138.91 La.upf
Sb 121.76 Sb.upf
CELL_PARAMETERS angstrom
4.3670 0.0000 0.0000
0.0000 7.3437 0.0000
0.0000 0.0000 7.3006
ATOMIC_POSITIONS crystal
La 0.0000 0.2143 0.6271
La 0.0000 0.7857 0.3729
La 0.5000 0.7143 0.8729
La 0.5000 0.2857 0.1271
Sb 0.0000 0.0000 0.0000
Sb 0.5000 0.5000 0.5000



(2)
! Ba2Na16Cd, relaxed, DFT PBE; values from VASP
! DFT total energy in eV/atom: -1.351
! Crystal system: trigonal
! Formation energy in eV/atom: 0.0099
&SYSTEM
  ibrav = 0, nat = 19, ntyp = 3
/
ATOMIC_SPECIES
Ba 137.33 Ba.upf
Na 22.99 Na.upf
Cd 112.41 Cd.upf
CELL_PARAMETERS angstrom
-5.9249 -2.2358 6.5228
3.7183 -8.0245 2.1051
4.9805 2.9459 7.0118
ATOMIC_POSITIONS crystal
Ba 0.6699 0.6699 0.6699
Ba 0.3422 0.3422 0.3422
Na 0.7096 0.9995 0.2910
Na 0.9995 0.2910 0.7096
Na 0.2910 0.7096 0.9995
Na 0.9995 0.7096 0.2910
Na 0.7096 0.2910 0.9995
Na 0.2910 0.9995 0.7096
Na 0.3552 0.8505 0.3552
Na 0.8505 0.3552 0.3552
Na 0.3552 0.3552 0.8505
Na 0.6497 0.1465 0.6497
Na 0.1465 0.6497 0.6497
Na 0.6497 0.6497 0.1465
Na 0.9946 0.5131 0.9946
Na 0.5131 0.9946 0.9946
Na 0.9946 0.9946 0.5131
Na 0.0880 0.0880 0.0880
Cd 0.8907 0.8907 0.8907



(3)
! AlH4, relaxed, DFT PBE; values from VASP
! DFT total energy in eV/atom: -3.427
! Energy above the most stable polymorph in this dataset in meV/atom: 0
! Crystal system: monoclinic
&SYSTEM
  ibrav = 0, nat = 10, ntyp = 2
/
ATOMIC_SPECIES
Al 26.98 Al.upf
H 1.01 H.upf
CELL_PARAMETERS angstrom
-4.0724 1.8988 -0.0536
1.3770 -2.4973 -3.4728
-2.1099 -4.7080 2.6905
ATOMIC_POSITIONS crystal
Al 0.8336 0.1664 0.0000
Al 0.1664 0.8336 0.0000
H 0.5013 0.5013 0.4354
H 0.4914 0.8475 0.8334
H 0.5086 0.1525 0.1666
H 0.4987 0.4987 0.5646
H 0.1525 0.5086 0.1666
H 0.8633 0.8633 0.1670
H 0.8475 0.4914 0.8334
H 0.1367 0.1367 0.8330